1.
DFT (PBE) results for a geometry-optimized LiRu2Au structure.

It has space group P4mm (No. 99), with a = 2.8039 Å, b = 2.8039 Å, c = 7.4844 Å, α = 90.00°, β = 90.00° and γ = 90.00°. Symmetry generates all atoms from Li at (0.0000, 0.0000, 0.0000), Ru at (0.0000, 0.0000, 0.4705), Ru at (0.5000, 0.5000, 0.2546) and Au at (0.5000, 0.5000, 0.7597).

As for the energy relative to the lowest polymorph listed for this composition: 0.011 eV/atom. As for the crystal system: tetragonal. As for the uncorrected energy: -23.48 eV for the cell shown. As for the density of states at the Fermi level: 0.75 states/eV per atom.

2.
DFT (PBE) results for a geometry-optimized LiRuAu3 structure.

It has space group Pm-3m (No. 221), with a = 5.0760 Å, b = 5.0760 Å, c = 5.0760 Å, α = 90.00°, β = 90.00° and γ = 90.00°. Symmetry generates all atoms from Li at (0.0000, 0.0000, 0.0000), Ru at (0.5000, 0.5000, 0.5000) and Au at (0.0000, 0.5000, 0.5000).

As for the energy relative to the lowest polymorph listed for this composition: 0.029 eV/atom. As for the crystal system: cubic. As for the uncorrected energy: -17.61 eV for the cell shown. As for the density of states at the Fermi level: 0.54 states/eV per atom.

3.
DFT (PBE) results for a geometry-optimized LiRuAu2 structure.

It has space group P4mm (No. 99), with a = 2.7795 Å, b = 2.7795 Å, c = 8.2361 Å, α = 90.00°, β = 90.00° and γ = 90.00°. Symmetry generates all atoms from Li at (0.0000, 0.0000, 0.0000), Ru at (0.5000, 0.5000, 0.2358), Au at (0.0000, 0.0000, 0.4892) and Au at (0.5000, 0.5000, 0.7715).

As for the energy relative to the lowest polymorph listed for this composition: 0.221 eV/atom. As for the crystal system: tetragonal. As for the uncorrected energy: -17.19 eV for the cell shown. As for the density of states at the Fermi level: 0.55 states/eV per atom.